# Ba3PrTh2As6 | the Alexandria database | GGA-PBE | relaxed
data_Ba3PrTh2As6
_space_group_name_H-M_alt 'P 1'
_space_group_IT_number 1
_space_group_name_Hall 'P 1'
_cell_length_a 7.711
_cell_length_b 7.711
_cell_length_c 7.981
_cell_angle_alpha 99.27
_cell_angle_beta 99.27
_cell_angle_gamma 120.02
loop_
_atom_site_label
_atom_site_type_symbol
_atom_site_fract_x
_atom_site_fract_y
_atom_site_fract_z
Ba1 Ba 0.835 0.165 0.500
Ba2 Ba 0.500 0.500 0.500
Ba3 Ba 0.165 0.835 0.500
Th1 Th 0.667 0.333 0.000
Th2 Th 0.333 0.667 0.000
As1 As 0.072 0.411 0.215
As2 As 0.928 0.589 0.785
As3 As 0.411 0.072 0.215
As4 As 0.268 0.268 0.786
As5 As 0.589 0.928 0.785
As6 As 0.732 0.732 0.214
Pr1 Pr 0.000 0.000 0.000
# D(E_F)   11.0 states/eV/f.u.
# SG   C2/m, No. 12
# Formation enthalpy at 0 K   -1.260 eV per atom

# Ba2PrThAs4 | the Alexandria database | GGA-PBE | relaxed
data_Ba2PrThAs4
_space_group_name_H-M_alt 'P 1'
_space_group_IT_number 1
_space_group_name_Hall 'P 1'
_cell_length_a 4.450
_cell_length_b 7.728
_cell_length_c 7.985
_cell_angle_alpha 108.80
_cell_angle_beta 90.00
_cell_angle_gamma 90.00
loop_
_atom_site_label
_atom_site_type_symbol
_atom_site_fract_x
_atom_site_fract_y
_atom_site_fract_z
Ba1 Ba 0.000 0.500 0.500
Ba2 Ba 0.500 0.000 0.500
As1 As 0.500 0.244 0.216
As2 As 0.500 0.756 0.784
As3 As 0.000 0.267 0.786
As4 As 0.000 0.733 0.214
Pr1 Pr 0.000 0.000 0.000
Th1 Th 0.500 0.500 0.000
# D(E_F)   7.8 states/eV/f.u.
# SG   P2/m, No. 10
# Formation enthalpy at 0 K   -1.228 eV per atom

# Ba3Pr2UAs6 | the Alexandria database | GGA-PBE | relaxed
data_Ba3Pr2UAs6
_space_group_name_H-M_alt 'P 1'
_space_group_IT_number 1
_space_group_name_Hall 'P 1'
_cell_length_a 7.621
_cell_length_b 7.621
_cell_length_c 7.937
_cell_angle_alpha 99.23
_cell_angle_beta 99.23
_cell_angle_gamma 119.97
loop_
_atom_site_label
_atom_site_type_symbol
_atom_site_fract_x
_atom_site_fract_y
_atom_site_fract_z
As1 As 0.931 0.622 0.792
As2 As 0.069 0.378 0.208
As3 As 0.622 0.931 0.792
As4 As 0.378 0.069 0.208
As5 As 0.762 0.762 0.209
As6 As 0.238 0.238 0.791
Ba1 Ba 0.171 0.829 0.500
Ba2 Ba 0.829 0.171 0.500
Ba3 Ba 0.500 0.500 0.500
U1 U 0.000 0.000 0.000
Pr1 Pr 0.666 0.334 0.000
Pr2 Pr 0.334 0.666 0.000
# SG   C2/m, No. 12
# Formation enthalpy at 0 K   -1.156 eV per atom

# BaAsPt3 | the Alexandria database | GGA-PBE | relaxed
data_BaAsPt3
_space_group_name_H-M_alt 'P 1'
_space_group_IT_number 1
_space_group_name_Hall 'P 1'
_cell_length_a 5.338
_cell_length_b 5.338
_cell_length_c 5.338
_cell_angle_alpha 90.00
_cell_angle_beta 90.00
_cell_angle_gamma 90.00
loop_
_atom_site_label
_atom_site_type_symbol
_atom_site_fract_x
_atom_site_fract_y
_atom_site_fract_z
Pt1 Pt 0.500 0.000 0.000
Pt2 Pt 0.000 0.000 0.500
Pt3 Pt 0.000 0.500 0.000
Ba1 Ba 0.000 0.000 0.000
As1 As 0.500 0.500 0.500
# D(E_F)   6.2 states/eV/f.u.
# Excess energy over the best structure of this formula in the dataset   2449 meV per atom
# SG   Pm-3m, No. 221
# Formation enthalpy at 0 K   1.814 eV per atom

# Ba3As4Pt | the Alexandria database | GGA-PBE | relaxed
data_Ba3As4Pt
_space_group_name_H-M_alt 'P 1'
_space_group_IT_number 1
_space_group_name_Hall 'P 1'
_cell_length_a 5.164
_cell_length_b 5.901
_cell_length_c 9.048
_cell_angle_alpha 109.03
_cell_angle_beta 106.58
_cell_angle_gamma 90.00
loop_
_atom_site_label
_atom_site_type_symbol
_atom_site_fract_x
_atom_site_fract_y
_atom_site_fract_z
Ba1 Ba 0.190 0.190 0.381
Ba2 Ba 0.810 0.810 0.619
Ba3 Ba 0.000 0.500 0.000
Pt1 Pt 0.500 0.000 0.000
As1 As 0.384 0.165 0.767
As2 As 0.616 0.398 0.233
As3 As 0.384 0.602 0.767
As4 As 0.616 0.835 0.233
# D(E_F)   2.8 states/eV/f.u.
# SG   Immm, No. 71
# Formation enthalpy at 0 K   -0.915 eV per atom

# Ba2As2Pt | the Alexandria database | GGA-PBE | relaxed
data_Ba2As2Pt
_space_group_name_H-M_alt 'P 1'
_space_group_IT_number 1
_space_group_name_Hall 'P 1'
_cell_length_a 7.385
_cell_length_b 7.385
_cell_length_c 4.982
_cell_angle_alpha 90.00
_cell_angle_beta 90.00
_cell_angle_gamma 90.00
loop_
_atom_site_label
_atom_site_type_symbol
_atom_site_fract_x
_atom_site_fract_y
_atom_site_fract_z
As1 As 0.128 0.372 0.000
As2 As 0.872 0.628 0.000
As3 As 0.372 0.872 0.000
As4 As 0.628 0.128 0.000
Ba1 Ba 0.678 0.822 0.500
Ba2 Ba 0.822 0.322 0.500
Ba3 Ba 0.322 0.178 0.500
Ba4 Ba 0.178 0.678 0.500
Pt1 Pt 0.000 0.000 0.000
Pt2 Pt 0.500 0.500 0.000
# D(E_F)   0.4 states/eV/f.u.
# Excess energy over the best structure of this formula in the dataset   261 meV per atom
# SG   P4/mbm, No. 127
# Formation enthalpy at 0 K   -0.730 eV per atom

# BaAsPt | the Alexandria database | GGA-PBE | relaxed
data_BaAsPt
_space_group_name_H-M_alt 'P 1'
_space_group_IT_number 1
_space_group_name_Hall 'P 1'
_cell_length_a 4.950
_cell_length_b 4.950
_cell_length_c 4.950
_cell_angle_alpha 60.00
_cell_angle_beta 60.00
_cell_angle_gamma 60.00
loop_
_atom_site_label
_atom_site_type_symbol
_atom_site_fract_x
_atom_site_fract_y
_atom_site_fract_z
Ba1 Ba 0.500 0.500 0.500
Pt1 Pt 0.750 0.750 0.750
As1 As 0.000 0.000 0.000
# D(E_F)   7.0 states/eV/f.u.
# SG   F-43m, No. 216
# Formation enthalpy at 0 K   -0.362 eV per atom

# BaAs3Pt3 | the Alexandria database | GGA-PBE | relaxed
data_BaAs3Pt3
_space_group_name_H-M_alt 'P 1'
_space_group_IT_number 1
_space_group_name_Hall 'P 1'
_cell_length_a 6.957
_cell_length_b 6.957
_cell_length_c 6.957
_cell_angle_alpha 90.00
_cell_angle_beta 90.00
_cell_angle_gamma 90.00
loop_
_atom_site_label
_atom_site_type_symbol
_atom_site_fract_x
_atom_site_fract_y
_atom_site_fract_z
As1 As 0.750 0.500 0.000
As2 As 0.000 0.750 0.500
As3 As 0.000 0.250 0.500
As4 As 0.500 0.000 0.250
As5 As 0.250 0.500 0.000
As6 As 0.500 0.000 0.750
Pt1 Pt 0.250 0.000 0.500
Pt2 Pt 0.500 0.750 0.000
Pt3 Pt 0.500 0.250 0.000
Pt4 Pt 0.000 0.500 0.750
Pt5 Pt 0.750 0.000 0.500
Pt6 Pt 0.000 0.500 0.250
Ba1 Ba 0.500 0.500 0.500
Ba2 Ba 0.000 0.000 0.000
# D(E_F)   5.0 states/eV/f.u.
# SG   Pm-3n, No. 223
# Formation enthalpy at 0 K   -0.614 eV per atom

# Ba6AsPt2 | the Alexandria database | GGA-PBE | relaxed
data_Ba6AsPt2
_space_group_name_H-M_alt 'P 1'
_space_group_IT_number 1
_space_group_name_Hall 'P 1'
_cell_length_a 4.695
_cell_length_b 9.493
_cell_length_c 10.362
_cell_angle_alpha 102.22
_cell_angle_beta 103.09
_cell_angle_gamma 90.00
loop_
_atom_site_label
_atom_site_type_symbol
_atom_site_fract_x
_atom_site_fract_y
_atom_site_fract_z
Ba1 Ba 0.664 0.110 0.329
Ba2 Ba 0.327 0.433 0.654
Ba3 Ba 0.336 0.890 0.671
Ba4 Ba 0.007 0.240 0.015
Ba5 Ba 0.673 0.567 0.346
Ba6 Ba 0.993 0.760 0.985
Pt1 Pt 0.833 0.662 0.666
Pt2 Pt 0.167 0.338 0.334
As1 As 0.500 0.000 0.000
# D(E_F)   4.3 states/eV/f.u.
# SG   C2/m, No. 12
# Formation enthalpy at 0 K   -0.703 eV per atom

# Ba3As4Pt2 | the Alexandria database | GGA-PBE | relaxed
data_Ba3As4Pt2
_space_group_name_H-M_alt 'P 1'
_space_group_IT_number 1
_space_group_name_Hall 'P 1'
_cell_length_a 4.508
_cell_length_b 6.499
_cell_length_c 8.941
_cell_angle_alpha 94.43
_cell_angle_beta 90.00
_cell_angle_gamma 110.29
loop_
_atom_site_label
_atom_site_type_symbol
_atom_site_fract_x
_atom_site_fract_y
_atom_site_fract_z
Ba1 Ba 0.665 0.331 0.666
Ba2 Ba 0.335 0.669 0.334
Ba3 Ba 0.000 0.000 0.000
As1 As 0.949 0.899 0.627
As2 As 0.051 0.101 0.373
As3 As 0.287 0.575 0.943
As4 As 0.713 0.425 0.057
Pt1 Pt 0.614 0.227 0.289
Pt2 Pt 0.386 0.773 0.711
# D(E_F)   4.5 states/eV/f.u.
# Excess energy over the best structure of this formula in the dataset   0 meV per atom
# SG   C2/m, No. 12
# Formation enthalpy at 0 K   -0.942 eV per atom

# BaAsPt | the Alexandria database | GGA-PBE | relaxed
data_BaAsPt
_space_group_name_H-M_alt 'P 1'
_space_group_IT_number 1
_space_group_name_Hall 'P 1'
_cell_length_a 6.244
_cell_length_b 6.243
_cell_length_c 3.671
_cell_angle_alpha 72.91
_cell_angle_beta 72.90
_cell_angle_gamma 34.19
loop_
_atom_site_label
_atom_site_type_symbol
_atom_site_fract_x
_atom_site_fract_y
_atom_site_fract_z
Pt1 Pt 0.614 0.614 0.386
As1 As 0.055 0.055 0.945
Ba1 Ba 0.332 0.332 0.668
# D(E_F)   1.7 states/eV/f.u.
# SG   I4mm, No. 107
# Formation enthalpy at 0 K   -0.504 eV per atom